No. 1
A plane-wave DFT calculation with SCAN was carried out for Ca3MgSn at its PBEsol-relaxed geometry.

The structure in POSCAR format:
```
Ca3MgSn
1.0
5.731 0.000 0.000
0.000 5.731 0.000
0.000 0.000 5.731
Ca Mg Sn
3 1 1
direct
0.000 0.000 0.500
0.000 0.500 0.000
0.500 0.000 0.000
0.000 0.000 0.000
0.500 0.500 0.500
```

Values from the calculation:
SG: Pm-3m (221)
N(E_F): 0.95 states/eV per atom
Energy relative to the elements: 0.316 eV per atom

No. 2
A plane-wave DFT calculation with SCAN was carried out for SrLiSb2 at its PBEsol-relaxed geometry.

The structure in POSCAR format:
```
SrLiSb2
1.0
3.446 0.000 0.000
0.000 4.441 0.000
0.000 0.000 6.841
Sr Li Sb
1 1 2
direct
0.000 0.000 0.000
0.000 0.000 0.500
0.500 0.500 0.280
0.500 0.500 0.720
```

Values from the calculation:
SG: Pmmm (47)
Polymorph energy (0 for the lowest one): 0 meV/atom
Formation energy without anion corrections: -0.651 eV/atom
N(E_F): 0.25 states/eV per atom

No. 3
A plane-wave DFT calculation with SCAN was carried out for Sr2IrPt at its PBEsol-relaxed geometry.

The structure in POSCAR format:
```
Sr2IrPt
1.0
3.588 0.000 0.000
0.000 3.588 0.000
0.000 0.000 8.578
Sr Ir Pt
2 1 1
direct
0.000 0.000 0.000
0.500 0.500 0.424
0.000 0.000 0.673
0.500 0.500 0.755
```

Values from the calculation:
SG: P4mm (99)
N(E_F): 1.10 states/eV per atom
Energy relative to the elements: -0.085 eV per atom

No. 4
A plane-wave DFT calculation with SCAN was carried out for Sr3Nb at its PBEsol-relaxed geometry.

The structure in POSCAR format:
```
Sr3Nb
1.0
-2.913 2.913 4.291
2.913 -2.913 4.291
2.913 2.913 -4.291
Sr Nb
3 1
direct
0.000 0.000 0.000
0.250 0.750 0.500
0.750 0.250 0.500
0.500 0.500 0.000
```

Values from the calculation:
SG: I4/mmm (139)
N(E_F): 0.84 states/eV per atom
Energy relative to the elements: 0.696 eV per atom

No. 5
A plane-wave DFT calculation with SCAN was carried out for Ni2PtRh at its PBEsol-relaxed geometry.

The structure in POSCAR format:
```
Ni2PtRh
1.0
-1.826 1.826 3.728
1.826 -1.826 3.728
1.826 1.826 -3.728
Ni Pt Rh
2 1 1
direct
0.000 0.000 0.000
0.750 0.250 0.500
0.500 0.500 0.000
0.250 0.750 0.500
```

Values from the calculation:
SG: I-4m2 (119)
N(E_F): 0.94 states/eV per atom
Energy relative to the elements: -0.073 eV per atom

No. 6
A plane-wave DFT calculation with SCAN was carried out for ZrZnN2 at its PBEsol-relaxed geometry.

The structure in POSCAR format:
```
ZrZnN2
1.0
3.264 0.000 0.000
-1.632 2.826 0.000
0.000 0.000 5.245
Zr Zn N
1 1 2
direct
0.000 0.000 0.000
0.333 0.667 0.554
0.333 0.667 0.186
0.667 0.333 0.743
```

Values from the calculation:
SG: P3m1 (156)
Formation energy without anion corrections: -1.145 eV/atom
N(E_F): 0.00 states/eV per atom

No. 7
A plane-wave DFT calculation with SCAN was carried out for BaLiAl2 at its PBEsol-relaxed geometry.

The structure in POSCAR format:
```
BaLiAl2
1.0
2.273 1.312 5.908
-2.273 1.312 5.908
0.000 -2.624 5.908
Ba Li Al
1 1 2
direct
0.000 0.000 0.000
0.194 0.194 0.194
0.490 0.490 0.490
0.798 0.798 0.798
```

Values from the calculation:
SG: R3m (160)
Polymorph energy (0 for the lowest one): 0 meV/atom
N(E_F): 0.63 states/eV per atom
Energy relative to the elements: -0.203 eV per atom

No. 8
A plane-wave DFT calculation with SCAN was carried out for ZrScIr4 at its PBEsol-relaxed geometry.

The structure in POSCAR format:
```
ZrScIr4
1.0
0.000 3.666 3.666
3.666 0.000 3.666
3.666 3.666 0.000
Zr Sc Ir
1 1 4
direct
0.000 0.000 0.000
0.750 0.750 0.750
0.375 0.375 0.375
0.375 0.375 0.874
0.375 0.874 0.375
0.874 0.375 0.375
```

Values from the calculation:
SG: F-43m (216)
N(E_F): 0.55 states/eV per atom
Energy relative to the elements: -0.917 eV per atom

No. 9
A plane-wave DFT calculation with SCAN was carried out for NiH8I2O10 at its PBEsol-relaxed geometry.

The structure in POSCAR format:
```
NiH8I2O10
1.0
8.154 0.000 0.000
0.000 6.255 0.000
-1.299 0.000 8.155
Ni H I O
2 16 4 20
direct
0.000 0.000 0.000
0.000 0.500 0.500
0.008 0.126 0.308
0.008 0.374 0.808
0.163 0.504 0.263
0.163 0.996 0.763
0.262 0.611 0.729
0.262 0.889 0.229
0.274 0.721 0.551
0.274 0.779 0.051
0.726 0.221 0.949
0.726 0.279 0.449
0.738 0.111 0.771
0.738 0.389 0.271
0.837 0.004 0.237
0.837 0.496 0.737
0.992 0.626 0.192
0.992 0.874 0.692
0.340 0.191 0.528
0.340 0.309 0.028
0.660 0.691 0.972
0.660 0.809 0.472
0.074 0.598 0.294
0.074 0.902 0.794
0.112 0.214 0.475
0.112 0.286 0.975
0.238 0.589 0.607
0.238 0.911 0.107
0.344 0.583 0.942
0.344 0.917 0.442
0.346 0.121 0.745
0.346 0.379 0.245
0.654 0.621 0.755
0.654 0.879 0.255
0.656 0.083 0.558
0.656 0.417 0.058
0.762 0.089 0.893
0.762 0.411 0.393
0.888 0.714 0.025
0.888 0.786 0.525
0.926 0.098 0.206
0.926 0.402 0.706
```

Values from the calculation:
SG: P2_1/c (14)
Energy: -395.71 eV for the cell shown
N(E_F): 0.00 states/eV per atom

No. 10
A plane-wave DFT calculation with SCAN was carried out for ErAsSe at its PBEsol-relaxed geometry.

The structure in POSCAR format:
```
ErAsSe
1.0
3.830 0.000 0.000
0.000 3.830 0.000
0.000 0.000 8.540
Er As Se
2 2 2
direct
0.250 0.250 0.223
0.750 0.750 0.777
0.250 0.750 0.500
0.750 0.250 0.500
0.250 0.250 0.876
0.750 0.750 0.124
```

Values from the calculation:
SG: P4/nmm (129)
Formation energy without anion corrections: -1.588 eV/atom
N(E_F): 0.23 states/eV per atom

No. 11
A plane-wave DFT calculation with SCAN was carried out for Fe2PtRh at its PBEsol-relaxed geometry.

The structure in POSCAR format:
```
Fe2PtRh
1.0
-1.424 2.137 4.295
1.424 -2.137 4.295
1.424 2.137 -4.295
Fe Pt Rh
2 1 1
direct
0.000 0.000 0.000
0.776 0.276 0.500
0.252 0.752 0.500
0.529 0.529 0.000
```

Values from the calculation:
SG: Imm2 (44)
N(E_F): 0.59 states/eV per atom
Energy relative to the elements: -0.253 eV per atom

No. 12
A plane-wave DFT calculation with SCAN was carried out for Ho2GaCo2 at its PBEsol-relaxed geometry.

The structure in POSCAR format:
```
Ho2GaCo2
1.0
-1.992 2.654 4.054
1.992 -2.654 4.054
1.992 2.654 -4.054
Ho Ga Co
2 1 2
direct
0.206 0.206 0.000
0.794 0.794 0.000
0.500 0.000 0.500
0.218 0.500 0.718
0.782 0.500 0.282
```

Values from the calculation:
SG: Immm (71)
N(E_F): 0.57 states/eV per atom
Energy relative to the elements: -0.392 eV per atom